# 1
KHgSe2: optimized geometry, GGA-PBE.

Computed properties:
- DOS at the Fermi energy: 1.9 states/eV/f.u.
- DFT total energy: -2.50 eV per atom
- SG: No. 44

Cell and atoms, written as CIF:
```
data_KHgSe2
_chemical_formula_sum 'K1 Hg1 Se2'
_symmetry_space_group_name_H-M 'P 1'
_symmetry_Int_Tables_number 1
_symmetry_space_group_name_Hall 'P 1'
_cell_length_a 6.3064
_cell_length_b 6.3064
_cell_length_c 6.3064
_cell_angle_alpha 138.26
_cell_angle_beta 126.28
_cell_angle_gamma 70.25
loop_
_atom_site_label
_atom_site_fract_x
_atom_site_fract_y
_atom_site_fract_z
_atom_site_occupancy
Hg1 0.5274 0.5274 0.0000 1
K1 0.2390 0.7390 0.5000 1
Se1 0.9224 0.9224 0.0000 1
Se2 0.8112 0.3112 0.5000 1
```

# 2
K2HgSe: optimized geometry, GGA-PBE.

Computed properties:
- DOS at the Fermi energy: 0.7 states/eV/f.u.
- DFT total energy: -2.18 eV per atom
- SG: No. 123

Cell and atoms, written as CIF:
```
data_K2HgSe
_chemical_formula_sum 'K2 Hg1 Se1'
_symmetry_space_group_name_H-M 'P 1'
_symmetry_Int_Tables_number 1
_symmetry_space_group_name_Hall 'P 1'
_cell_length_a 4.4301
_cell_length_b 5.4234
_cell_length_c 5.4234
_cell_angle_alpha 90.00
_cell_angle_beta 90.00
_cell_angle_gamma 90.00
loop_
_atom_site_label
_atom_site_fract_x
_atom_site_fract_y
_atom_site_fract_z
_atom_site_occupancy
Hg1 0.5000 0.0000 0.5000 1
K1 0.0000 0.0000 0.0000 1
K2 0.0000 0.5000 0.5000 1
Se1 0.5000 0.5000 0.0000 1
```

# 3
K3HgSe3: optimized geometry, GGA-PBE.

Computed properties:
- DOS at the Fermi energy: 6.5 states/eV/f.u.
- DFT total energy: -2.74 eV per atom
- SG: No. 160

Cell and atoms, written as CIF:
```
data_K3HgSe3
_chemical_formula_sum 'K3 Hg1 Se3'
_symmetry_space_group_name_H-M 'P 1'
_symmetry_Int_Tables_number 1
_symmetry_space_group_name_Hall 'P 1'
_cell_length_a 6.6251
_cell_length_b 6.8189
_cell_length_c 6.8189
_cell_angle_alpha 110.04
_cell_angle_beta 108.90
_cell_angle_gamma 108.90
loop_
_atom_site_label
_atom_site_fract_x
_atom_site_fract_y
_atom_site_fract_z
_atom_site_occupancy
K1 0.5503 0.5530 0.5530 1
K2 0.9973 0.0000 0.4470 1
K3 0.9973 0.4470 0.0000 1
Hg1 0.3826 0.0000 0.0000 1
Se1 0.0792 0.5950 0.5950 1
Se2 0.4842 0.0000 0.4050 1
Se3 0.4842 0.4050 0.0000 1
```